# 1
Compound: NbZn3Pd
Source: the Alexandria database
Functional: GGA-PBEsol
Structure: relaxed

Output
As for the raw total energy: -3.659 eV per atom. As for the volume: 93.0 Å³ per cell. The space group is Pm-3m (221). The density of states at the Fermi level comes out at 0.59 states/eV/atom.

Geometry as POSCAR:
```
NbZn3Pd
1.0
4.531 0.000 0.000
0.000 4.531 0.000
0.000 0.000 4.531
Zn Nb Pd
3 1 1
Cartesian
0.000 0.000 2.265
2.265 0.000 0.000
0.000 2.265 0.000
2.265 2.265 2.265
0.000 0.000 0.000
```

# 2
Compound: NdGa3Ag
Source: the Alexandria database
Functional: GGA-PBEsol
Structure: relaxed

Output
As for the raw total energy: -4.198 eV per atom. As for the volume: 97.0 Å³ per cell. The space group is I4mm (107). The density of states at the Fermi level comes out at 0.27 states/eV/atom.

Geometry as POSCAR:
```
NdGa3Ag
1.0
-2.399 1.567 3.095
-0.065 -3.782 1.864
5.718 2.418 0.335
Ga Nd Ag
3 1 1
Cartesian
-0.270 -0.827 3.083
1.036 1.436 2.949
2.202 -1.239 2.334
0.125 0.036 0.078
3.416 0.997 2.143
```

# 3
Compound: ScHg2SbSe
Source: the Alexandria database
Functional: GGA-PBEsol
Structure: relaxed

Output
As for the raw total energy: -3.177 eV per atom. The formation energy (no corrections) is 0.05 eV/atom. As for the volume: 135.6 Å³ per cell. The space group is P4/mmm (123). The density of states at the Fermi level comes out at 0.54 states/eV/atom.

Geometry as POSCAR:
```
ScHg2SbSe
1.0
4.999 0.000 0.000
0.000 5.209 0.000
0.000 0.000 5.209
Sc Sb Hg Se
1 1 2 1
Cartesian
2.499 0.000 0.000
2.499 2.604 2.604
0.000 0.000 2.604
0.000 2.604 0.000
0.000 0.000 0.000
```

# 4
Compound: PtRh2W
Source: the Alexandria database
Functional: GGA-PBEsol
Structure: relaxed

Output
As for the raw total energy: -9.460 eV per atom. As for the volume: 57.1 Å³ per cell. The space group is Pmm2 (25). The density of states at the Fermi level comes out at 1.16 states/eV/atom. The offset from the most stable computed form comes out at 0.059 eV per atom.

Geometry as POSCAR:
```
PtRh2W
1.0
2.707 0.000 0.000
0.000 3.889 0.000
0.000 0.000 5.428
Rh Pt W
2 1 1
Cartesian
0.000 0.000 0.045
1.354 1.945 1.367
1.354 1.945 4.071
0.000 0.000 2.658
```

Among the records above, which one has the lowest raw total energy? PtRh2W

Please write out number 1 again, unchanged.
Compound: NbZn3Pd
Source: the Alexandria database
Functional: GGA-PBEsol
Structure: relaxed

Output
As for the raw total energy: -3.659 eV per atom. As for the volume: 93.0 Å³ per cell. The space group is Pm-3m (221). The density of states at the Fermi level comes out at 0.59 states/eV/atom.

Geometry as POSCAR:
```
NbZn3Pd
1.0
4.531 0.000 0.000
0.000 4.531 0.000
0.000 0.000 4.531
Zn Nb Pd
3 1 1
Cartesian
0.000 0.000 2.265
2.265 0.000 0.000
0.000 2.265 0.000
2.265 2.265 2.265
0.000 0.000 0.000
```

What did the third record say?
Compound: ScHg2SbSe
Source: the Alexandria database
Functional: GGA-PBEsol
Structure: relaxed

Output
As for the raw total energy: -3.177 eV per atom. The formation energy (no corrections) is 0.05 eV/atom. As for the volume: 135.6 Å³ per cell. The space group is P4/mmm (123). The density of states at the Fermi level comes out at 0.54 states/eV/atom.

Geometry as POSCAR:
```
ScHg2SbSe
1.0
4.999 0.000 0.000
0.000 5.209 0.000
0.000 0.000 5.209
Sc Sb Hg Se
1 1 2 1
Cartesian
2.499 0.000 0.000
2.499 2.604 2.604
0.000 0.000 2.604
0.000 2.604 0.000
0.000 0.000 0.000
```

Which of these has the lowest raw total energy? PtRh2W